First-principles (PBE-GGA) data for a geometry-optimized Zr2CrMo structure, as listed in Alexandria via LeMat-Bulk.

Lattice parameters (Å, degrees): 3.127 3.127 7.417 90.00 90.00 90.00
Atoms (fractional coordinates):
1 Zr 0.000 0.000 0.000
2 Zr 0.500 0.500 0.313
3 Cr 0.000 0.000 0.561
4 Mo 0.500 0.500 0.737

Computed properties:
Total energy   -37.22 eV for the cell shown
Energy above the lowest structure with this stoichiometry   0.0 meV/atom
N(E_F)   4.2 states/eV per cell
ρ   7.56 Mg/m³
SG   P4mm
ΔH_f (0 K)   83 meV/atom